No. 1
# K2BaTc

A PBEsol-optimized structure of K2BaTc (meta-GGA SCAN, the Alexandria database).

The calculation puts the energy of formation from the pure elements at 1.06 eV/atom. As for the volume: 36.444 A^3/atom.

It has space group P2/m (No. 10), with a = 3.795 Å, b = 6.627 Å, c = 5.810 Å, α = 90.00°, β = 93.83° and γ = 90.00°. Symmetry generates all atoms from K at (0.231, 0.000, 0.277), Ba at (0.500, 0.500, 0.000) and Tc at (0.000, 0.500, 0.500).

---

No. 2
# AlSbCl

A PBEsol-optimized structure of AlSbCl (meta-GGA SCAN, the Alexandria database).

As for the volume: 23.439 A^3/atom.

It has space group Fmm2 (No. 42), with a = 3.334 Å, b = 5.790 Å, c = 14.570 Å, α = 90.00°, β = 90.00° and γ = 90.00°. Symmetry generates all atoms from Al at (0.000, 0.000, 0.000), Sb at (0.000, 0.000, 0.349) and Cl at (0.000, 0.000, 0.619).

---

No. 3
# LiCa2Ni2

A PBEsol-optimized structure of LiCa2Ni2 (meta-GGA SCAN, the Alexandria database).

The calculation puts the energy of formation from the pure elements at 0.03 eV/atom. As for the volume: 20.041 A^3/atom.

It has space group P4/mbm (No. 127), with a = 7.072 Å, b = 7.072 Å, c = 4.008 Å, α = 90.00°, β = 90.00° and γ = 90.00°. Symmetry generates all atoms from Li at (0.000, 0.000, 0.000), Ca at (0.175, 0.325, 0.500) and Ni at (0.114, 0.614, 0.000).

---

No. 4
# BaP2W2

A PBEsol-optimized structure of BaP2W2 (meta-GGA SCAN, the Alexandria database).

The calculation puts the energy of formation from the pure elements at -0.53 eV/atom. As for the volume: 20.393 A^3/atom.

It has space group I4/mmm (No. 139), with a = 3.837 Å, b = 3.837 Å, c = 13.850 Å, α = 90.00°, β = 90.00° and γ = 90.00°. Symmetry generates all atoms from Ba at (0.000, 0.000, 0.000), P at (0.000, 0.000, 0.365) and W at (0.000, 0.500, 0.250).

---

No. 5
# GaFe3I

A PBEsol-optimized structure of GaFe3I (meta-GGA SCAN, the Alexandria database).

As for the volume: 19.459 A^3/atom.

It has space group Pm-3m (No. 221), with a = 4.599 Å, b = 4.599 Å, c = 4.599 Å, α = 90.00°, β = 90.00° and γ = 90.00°. Symmetry generates all atoms from Ga at (0.000, 0.000, 0.000), Fe at (0.000, 0.500, 0.500) and I at (0.500, 0.500, 0.500).

---

No. 6
# LiMo5

A PBEsol-optimized structure of LiMo5 (meta-GGA SCAN, the Alexandria database).

The calculation puts the energy of formation from the pure elements at 0.56 eV/atom. As for the volume: 14.934 A^3/atom.

It has space group P-62m (No. 189), with a = 4.8255 Å, b = 4.8255 Å, c = 4.4434 Å, α = 90.00°, β = 90.00° and γ = 120.00°. Symmetry generates all atoms from Li at (0.0000, 0.0000, 0.0000), Mo at (0.0000, 0.3319, 0.5000) and Mo at (0.3333, 0.6667, 0.0000).

---

No. 7
# Hf2ScCoH

A PBEsol-optimized structure of Hf2ScCoH (meta-GGA SCAN, the Alexandria database).

As for the volume: 20.377 A^3/atom.

It has space group P4/mmm (No. 123), with a = 5.024 Å, b = 5.024 Å, c = 4.037 Å, α = 90.00°, β = 90.00° and γ = 90.00°. Symmetry generates all atoms from Hf at (0.000, 0.500, 0.000), Sc at (0.000, 0.000, 0.000), Co at (0.000, 0.000, 0.500) and H at (0.500, 0.500, 0.500).

---

No. 8
# KIrRu

A PBEsol-optimized structure of KIrRu (meta-GGA SCAN, the Alexandria database).

Its energy above the most stable polymorph in this dataset is 0.0 kJ/mol of formula units. The calculation puts the energy of formation from the pure elements at 0.82 eV/atom. As for the volume: 17.304 A^3/atom.

It has space group P3m1 (No. 156), with a = 2.7572 Å, b = 2.7572 Å, c = 7.8850 Å, α = 90.00°, β = 90.00° and γ = 120.00°. Symmetry generates all atoms from K at (0.0000, 0.0000, 0.0000), Ir at (0.6667, 0.3333, 0.3646) and Ru at (0.3333, 0.6667, 0.6260).

---

No. 9
# LiIn2Au2

A PBEsol-optimized structure of LiIn2Au2 (meta-GGA SCAN, the Alexandria database).

Its energy above the most stable polymorph in this dataset is 0.0 kJ/mol of formula units. The calculation puts the energy of formation from the pure elements at -0.35 eV/atom. As for the volume: 20.082 A^3/atom.

It has space group P4/mbm (No. 127), with a = 7.240 Å, b = 7.240 Å, c = 3.831 Å, α = 90.00°, β = 90.00° and γ = 90.00°. Symmetry generates all atoms from Li at (0.000, 0.000, 0.000), In at (0.165, 0.335, 0.500) and Au at (0.140, 0.640, 0.000).

---

No. 10
# SrTlAg

A PBEsol-optimized structure of SrTlAg (meta-GGA SCAN, the Alexandria database).

The calculation puts the energy of formation from the pure elements at -0.41 eV/atom. As for the volume: 27.265 A^3/atom.

It has space group P-6m2 (No. 187), with a = 4.9277 Å, b = 4.9277 Å, c = 3.8896 Å, α = 90.00°, β = 90.00° and γ = 120.00°. Symmetry generates all atoms from Sr at (0.0000, 0.0000, 0.0000), Tl at (0.3333, 0.6667, 0.5000) and Ag at (0.6667, 0.3333, 0.5000).

---

No. 11
# Te2Cl

A PBEsol-optimized structure of Te2Cl (meta-GGA SCAN, the Alexandria database).

Its energy above the most stable polymorph in this dataset is 19.4 kJ/mol of formula units. As for the volume: 28.667 A^3/atom.

It has space group P-3m1 (No. 164), with a = 4.5909 Å, b = 4.5909 Å, c = 4.7116 Å, α = 90.00°, β = 90.00° and γ = 120.00°. Symmetry generates all atoms from Te at (0.3333, 0.6667, 0.3620) and Cl at (0.0000, 0.0000, 0.0000).

---

No. 12
# Ba2CdN2

A PBEsol-optimized structure of Ba2CdN2 (meta-GGA SCAN, the Alexandria database).

As for the volume: 23.689 A^3/atom.

It has space group I4/mmm (No. 139), with a = 4.158 Å, b = 4.158 Å, c = 13.699 Å, α = 90.00°, β = 90.00° and γ = 90.00°. Symmetry generates all atoms from Ba at (0.000, 0.000, 0.160), Cd at (0.000, 0.000, 0.500) and N at (0.000, 0.000, 0.351).

---

No. 13
# CdTeCl2

A PBEsol-optimized structure of CdTeCl2 (meta-GGA SCAN, the Alexandria database).

Its energy above the most stable polymorph in this dataset is 0.0 kJ/mol of formula units. As for the volume: 24.247 A^3/atom.

It has space group Cmmm (No. 65), with a = 6.393 Å, b = 6.623 Å, c = 4.581 Å, α = 90.00°, β = 90.00° and γ = 90.00°. Symmetry generates all atoms from Cd at (0.000, 0.000, 0.000), Te at (0.000, 0.500, 0.000) and Cl at (0.000, 0.249, 0.500).

---

No. 14
# MgSb2W

A PBEsol-optimized structure of MgSb2W (meta-GGA SCAN, the Alexandria database).

Its energy above the most stable polymorph in this dataset is 28.5 kJ/mol of formula units. As for the volume: 22.320 A^3/atom.

It has space group Imm2 (No. 44), with a = 3.404 Å, b = 3.756 Å, c = 13.964 Å, α = 90.00°, β = 90.00° and γ = 90.00°. Symmetry generates all atoms from Mg at (0.000, 0.000, 0.000), Sb at (0.000, 0.000, 0.613), Sb at (0.000, 0.500, 0.840) and W at (0.000, 0.500, 0.262).

---

No. 15
# SrMn3Ni

A PBEsol-optimized structure of SrMn3Ni (meta-GGA SCAN, the Alexandria database).

The calculation puts the energy of formation from the pure elements at 0.16 eV/atom. As for the volume: 19.792 A^3/atom.

It has space group Pm-3m (No. 221), with a = 4.625 Å, b = 4.625 Å, c = 4.625 Å, α = 90.00°, β = 90.00° and γ = 90.00°. Symmetry generates all atoms from Sr at (0.000, 0.000, 0.000), Mn at (0.000, 0.500, 0.500) and Ni at (0.500, 0.500, 0.500).

---

No. 16
# ZnPb3W

A PBEsol-optimized structure of ZnPb3W (meta-GGA SCAN, the Alexandria database).

Its energy above the most stable polymorph in this dataset is 375.7 kJ/mol of formula units. The calculation puts the energy of formation from the pure elements at 1.43 eV/atom. As for the volume: 27.565 A^3/atom.

It has space group Pm-3m (No. 221), with a = 5.165 Å, b = 5.165 Å, c = 5.165 Å, α = 90.00°, β = 90.00° and γ = 90.00°. Symmetry generates all atoms from Zn at (0.000, 0.000, 0.000), Pb at (0.000, 0.000, 0.500) and W at (0.500, 0.500, 0.500).

---

No. 17
# ZrTa2Pt

A PBEsol-optimized structure of ZrTa2Pt (meta-GGA SCAN, the Alexandria database).

The calculation puts the energy of formation from the pure elements at -0.37 eV/atom. As for the volume: 17.647 A^3/atom.

It has space group Imm2 (No. 44), with a = 3.526 Å, b = 4.496 Å, c = 8.906 Å, α = 90.00°, β = 90.00° and γ = 90.00°. Symmetry generates all atoms from Zr at (0.000, 0.000, 0.000), Ta at (0.000, 0.000, 0.497), Ta at (0.000, 0.500, 0.243) and Pt at (0.000, 0.500, 0.751).

---

No. 18
# Be2RhBr

A PBEsol-optimized structure of Be2RhBr (meta-GGA SCAN, the Alexandria database).

Its energy above the most stable polymorph in this dataset is 128.8 kJ/mol of formula units. As for the volume: 13.440 A^3/atom.

It has space group R-3m (No. 166, hexagonal axes), with a = 3.0749 Å, b = 3.0749 Å, c = 19.6960 Å, α = 90.00°, β = 90.00° and γ = 120.00°. Symmetry generates all atoms from Be at (0.0000, 0.0000, 0.2415), Rh at (0.0000, 0.0000, 0.5000) and Br at (0.0000, 0.0000, 0.0000).

---

No. 19
# GaRe2TcBr

A PBEsol-optimized structure of GaRe2TcBr (meta-GGA SCAN, the Alexandria database).

As for the volume: 21.807 A^3/atom.

It has space group P4/mmm (No. 123), with a = 4.690 Å, b = 4.690 Å, c = 4.957 Å, α = 90.00°, β = 90.00° and γ = 90.00°. Symmetry generates all atoms from Ga at (0.000, 0.000, 0.000), Re at (0.000, 0.500, 0.500), Tc at (0.500, 0.500, 0.500) and Br at (0.500, 0.500, 0.000).

---

No. 20
# Cu2SbMo

A PBEsol-optimized structure of Cu2SbMo (meta-GGA SCAN, the Alexandria database).

As for the volume: 15.056 A^3/atom.

It has space group Cm (No. 8), with a = 9.733 Å, b = 2.929 Å, c = 4.694 Å, α = 90.00°, β = 115.84° and γ = 90.00°. Symmetry generates all atoms from Cu at (0.000, 0.000, 0.000), Cu at (0.234, 0.500, 0.083), Sb at (0.496, 0.000, 0.479) and Mo at (0.255, 0.000, 0.602).

---

No. 21
# SmCr2B6

A PBEsol-optimized structure of SmCr2B6 (meta-GGA SCAN, the Alexandria database).

The calculation puts the energy of formation from the pure elements at -0.58 eV/atom. As for the volume: 9.114 A^3/atom.

It has space group Immm (No. 71), with a = 3.066 Å, b = 6.465 Å, c = 8.277 Å, α = 90.00°, β = 90.00° and γ = 90.00°. Symmetry generates all atoms from Sm at (0.000, 0.000, 0.000), Cr at (0.000, 0.500, 0.154), B at (0.000, 0.140, 0.500) and B at (0.000, 0.236, 0.303).

---

No. 22
# Sr2MgBe

A PBEsol-optimized structure of Sr2MgBe (meta-GGA SCAN, the Alexandria database).

The calculation puts the energy of formation from the pure elements at 0.56 eV/atom. As for the volume: 33.414 A^3/atom.

It has space group I-42d (No. 122), with a = 8.883 Å, b = 8.883 Å, c = 6.775 Å, α = 90.00°, β = 90.00° and γ = 90.00°. Symmetry generates all atoms from Sr at (0.197, 0.250, 0.125), Mg at (0.000, 0.000, 0.500) and Be at (0.000, 0.000, 0.000).

---

No. 23
# AlNi2BO5

A PBEsol-optimized structure of AlNi2BO5 (meta-GGA SCAN, the Alexandria database).

As for the volume: 8.750 A^3/atom.

It has space group Pbam (No. 55), with a = 9.150 Å, b = 11.957 Å, c = 2.879 Å, α = 90.00°, β = 90.00° and γ = 90.00°. Symmetry generates all atoms from Al at (0.238, 0.114, 0.000), Ni at (0.000, 0.000, 0.500), Ni at (0.000, 0.500, 0.000), Ni at (0.004, 0.720, 0.500), B at (0.232, 0.861, 0.000), O at (0.113, 0.144, 0.500), O at (0.117, 0.360, 0.000), O at (0.126, 0.578, 0.500), O at (0.157, 0.962, 0.000) and O at (0.161, 0.759, 0.000).

---

No. 24
# In5Pb24

A PBEsol-optimized structure of In5Pb24 (meta-GGA SCAN, the Alexandria database).

The calculation puts the energy of formation from the pure elements at 0.04 eV/atom. As for the volume: 29.784 A^3/atom.

It has space group I-43m (No. 217), with a = 11.999 Å, b = 11.999 Å, c = 11.999 Å, α = 90.00°, β = 90.00° and γ = 90.00°. Symmetry generates all atoms from In at (0.000, 0.000, 0.000), In at (0.168, 0.168, 0.168), Pb at (0.052, 0.359, 0.641) and Pb at (0.094, 0.094, 0.712).

---

No. 25
# SrSb2

A PBEsol-optimized structure of SrSb2 (meta-GGA SCAN, the Alexandria database).

As for the volume: 29.984 A^3/atom.

It has space group I4_1/amd (No. 141, origin choice 2), with a = 4.521 Å, b = 4.521 Å, c = 35.214 Å, α = 90.00°, β = 90.00° and γ = 90.00°. Symmetry generates all atoms from Sr at (0.000, 0.250, 0.303), Sb at (0.000, 0.250, 0.123) and Sb at (0.000, 0.250, 0.777).

---

no.,total energy (eV/atom),M_tot (μB per formula unit),density (g/cm3)
1,-21.7540,2.554,3.57
2,-17.9182,0.000,4.35
3,-10.7803,0.000,3.39
4,-40.4719,0.000,9.23
5,-19.9893,6.578,6.22
6,-28.9102,0.000,9.02
7,-30.1968,1.240,7.53
8,-37.2598,0.001,10.63
9,-41.8478,0.000,10.43
10,-42.4136,0.000,8.12
11,-27.6296,0.087,5.61
12,-26.0360,0.000,5.82
13,-21.1837,0.000,5.32
14,-36.9331,0.003,8.40
15,-18.4789,13.278,5.22
16,-60.6796,4.044,10.49
17,-58.8838,0.000,15.25
18,-15.4060,0.000,6.20
19,-40.6339,3.377,9.44
20,-25.2727,0.000,9.51
21,-14.5517,0.000,6.46
22,-12.9108,0.000,2.59
23,-11.0268,4.000,4.96
24,-68.4328,0.000,10.66
25,-32.9764,0.000,6.11